--- i ---
10
Lattice="6.5277 0.0000 0.0000 0.0000 9.1580 0.0000 -2.3174 0.0000 5.7024" Properties=species:S:1:pos:R:3 comment="Pr4Hg (PBE, relaxed)" total_magnetization_mub_per_fu=0.000 n_ef_per_ev_fu=6.669 pbc="T T T"
Pr 1.1206 1.4207 0.3432
Pr -0.0381 7.7372 3.1944
Pr 0.4272 3.8504 2.9387
Pr 1.5859 5.3076 0.0875
Pr 2.6244 3.8504 5.6149
Pr 3.7831 5.3076 2.7637
Pr 4.2484 1.4207 2.5080
Pr 3.0897 7.7372 5.3592
Hg 1.5258 1.1468 4.2768
Hg 2.6845 8.0112 1.4256


--- ii ---
5
Lattice="5.9059 0.0000 0.0000 0.0000 5.9059 0.0000 0.0000 0.0000 5.9059" Properties=species:S:1:pos:R:3 comment="Pr4Hg (PBE, relaxed)" total_magnetization_mub_per_fu=0.000 n_ef_per_ev_fu=7.286 pbc="T T T"
Pr 0.0000 0.0000 0.0000
Pr 0.0000 2.9530 2.9530
Pr 2.9530 0.0000 2.9530
Pr 2.9530 2.9530 0.0000
Hg 2.9530 2.9530 2.9530


Most stable: i


--- i ---
4
Lattice="-2.6890 2.6890 4.9758 2.6890 -2.6890 4.9758 2.6890 2.6890 -4.9758" Properties=species:S:1:pos:R:3 comment="Sr2CaFe (PBE, relaxed)" total_magnetization_mub_per_fu=2.295 n_ef_per_ev_fu=8.394 pbc="T T T"
Sr 2.6890 0.0000 2.4879
Sr 0.0000 2.6890 2.4879
Ca 0.0000 0.0000 0.0000
Fe 0.0000 0.0000 4.9758


--- ii ---
8
Lattice="-4.0600 4.0600 5.7265 4.0600 -4.0600 5.7265 4.0600 4.0600 -5.7265" Properties=species:S:1:pos:R:3 comment="Sr2CaFe (PBE, relaxed)" total_magnetization_mub_per_fu=0.275 n_ef_per_ev_fu=5.276 pbc="T T T"
Sr 0.0000 0.0000 0.0000
Sr 2.0300 2.0300 -2.8632
Sr 2.0300 -2.0300 2.8632
Sr 0.0000 4.0600 0.0000
Ca 4.0600 2.0300 1.4316
Ca 0.0000 2.0300 4.2949
Fe 4.0600 -2.0300 4.2949
Fe 0.0000 6.0900 1.4316


Most stable: i


--- i ---
4
Lattice="3.8972 0.0000 0.0000 0.0000 3.8972 0.0000 0.0000 0.0000 7.8899" Properties=species:S:1:pos:R:3 comment="IrPbCl2 (PBE, relaxed)" total_magnetization_mub_per_fu=0.000 n_ef_per_ev_fu=1.598 pbc="T T T"
Ir 0.0000 0.0000 0.0000
Pb 1.9486 1.9486 7.5198
Cl 0.0000 0.0000 2.2170
Cl 1.9486 1.9486 5.0215


--- ii ---
4
Lattice="3.2311 0.0000 0.0000 0.0000 3.2311 0.0000 0.0000 0.0000 8.3904" Properties=species:S:1:pos:R:3 comment="IrPbCl2 (PBE, relaxed)" total_magnetization_mub_per_fu=2.178 n_ef_per_ev_fu=3.940 pbc="T T T"
Ir 0.0000 0.0000 0.0000
Pb 0.0000 0.0000 4.1952
Cl 1.6155 1.6155 1.6057
Cl 1.6155 1.6155 6.7847


Most stable: i


--- i ---
4
Lattice="4.8529 0.0000 0.0000 0.0000 4.2684 0.0000 -0.3359 0.0000 4.8591" Properties=species:S:1:pos:R:3 comment="SrPtCl2 (PBE, relaxed)" total_magnetization_mub_per_fu=0.000 n_ef_per_ev_fu=0.530 pbc="T T T"
Sr 0.0000 0.0000 0.0000
Pt 2.2585 0.0000 2.4296
Cl 1.1171 2.1342 3.4983
Cl 3.3999 2.1342 1.3608


--- ii ---
4
Lattice="3.8911 0.0000 0.0000 0.0000 4.1397 0.0000 0.0000 0.0000 5.6319" Properties=species:S:1:pos:R:3 comment="SrPtCl2 (PBE, relaxed)" total_magnetization_mub_per_fu=0.000 n_ef_per_ev_fu=1.595 pbc="T T T"
Sr 0.0000 0.0000 0.0000
Pt 1.9455 0.0000 2.8159
Cl 0.0000 2.0699 2.8159
Cl 1.9455 2.0699 0.0000


Most stable: i


--- i ---
4
Lattice="2.9514 0.0000 0.0000 0.0000 3.5115 0.0000 -0.8318 0.0000 6.9408" Properties=species:S:1:pos:R:3 comment="SrMnCr2 (PBE, relaxed)" total_magnetization_mub_per_fu=0.000 n_ef_per_ev_fu=4.523 pbc="T T T"
Sr 0.0000 0.0000 0.0000
Mn -0.4159 0.0000 3.4704
Cr 0.7555 1.7557 4.4411
Cr 1.3641 1.7557 2.4997


--- ii ---
4
Lattice="-2.0489 2.7342 3.8569 2.0489 -2.7342 3.8569 2.0489 2.7342 -3.8569" Properties=species:S:1:pos:R:3 comment="SrMnCr2 (PBE, relaxed)" total_magnetization_mub_per_fu=4.044 n_ef_per_ev_fu=2.519 pbc="T T T"
Sr 0.0000 0.0000 0.0000
Mn 0.0000 2.7342 1.4856
Cr 2.0489 0.0000 2.3603
Cr 0.0000 0.0000 3.8895


Most stable: i